Computed, not measured: an optimized crystal structure of ErPb2WO6 at the PBE+U level of DFT.

a = 5.796 Å, b = 5.974 Å, c = 10.242 Å
α = 90.00°, β = 123.98°, γ = 90.00°
Sites, in units of the cell vectors:
Er 0.000 0.000 0.000
Er 0.000 0.500 0.500
Pb 0.245 0.040 0.735
Pb 0.245 0.460 0.235
Pb 0.755 0.540 0.765
Pb 0.755 0.960 0.265
W 0.500 0.000 0.500
W 0.500 0.500 0.000
O 0.186 0.187 0.481
O 0.186 0.313 0.981
O 0.283 0.731 0.472
O 0.283 0.769 0.972
O 0.323 0.023 0.261
O 0.323 0.477 0.761
O 0.677 0.523 0.239
O 0.677 0.977 0.739
O 0.717 0.231 0.028
O 0.717 0.269 0.528
O 0.814 0.687 0.019
O 0.814 0.813 0.519

electronic total energy = -0.51361 Ry per atom
DOS at the Fermi energy = 0.0000 states/eV per atom
size of the total moment = 0.100 μB per atom